This record from Alexandria describes a relaxed TeMoI2O crystal. The functional is PBE+U.

a = 5.3102 Å, b = 5.3102 Å, c = 4.6253 Å
α = 90.00°, β = 90.00°, γ = 90.00°
With the nearest neighbours (Å) after each atom.
Fractional positions:
Te 0.0000 0.0000 0.0000  2 O 2.31
Mo 0.5000 0.5000 0.0000  8 I 3.52, 4 Te 3.75
I 0.0000 0.5000 0.5000  2 O 2.66
I 0.5000 0.0000 0.5000  2 O 2.66
O 0.0000 0.0000 0.5000  2 Te 2.31

- final energy (eV/atom) = -3.077
- calculated volume (Å³ per atom) = 26.1